(P)
A relaxed TaZn2Cl crystal, computed with GGA-PBE.

Results
N(E_F) in states/eV per cell: 3.06
Symmetry: R-3m, No. 166

a b c (Å): 8.5106 8.5106 8.5106
angles (deg): 21.06 21.06 21.06
Closest atoms and distances in Å follow each position.
Element x y z (fractional)
1 Cl 0.2500 0.2500 0.2500  6 Zn 2.69
2 Zn 0.5030 0.5030 0.5030  3 Cl 2.69, 3 Ta 2.81
3 Zn 0.9970 0.9970 0.9970  3 Cl 2.69, 3 Ta 2.81
4 Ta 0.7500 0.7500 0.7500  6 Zn 2.81, 6 Ta 3.11

***

(Q)
A relaxed TaZn2Cl crystal, computed with GGA-PBE.

Results
N(E_F) in states/eV per cell: 0.72
Symmetry: F-43m, No. 216

a b c (Å): 4.5386 4.5386 4.5386
angles (deg): 60.00 60.00 60.00
Closest atoms and distances in Å follow each position.
Element x y z (fractional)
1 Zn 0.2500 0.2500 0.2500  4 Cl 2.78, 4 Zn 2.78
2 Zn 0.0000 0.0000 0.0000  4 Zn 2.78, 4 Ta 2.78
3 Cl 0.5000 0.5000 0.5000  4 Ta 2.78, 4 Zn 2.78
4 Ta 0.7500 0.7500 0.7500  4 Zn 2.78, 4 Cl 2.78

***

According to the calculations, the structures order from most to least stable as (P), (Q).

***

(P)
A relaxed Zr3TaCl crystal, computed with GGA-PBE.

Results
N(E_F) in states/eV per cell: 7.08
Symmetry: Pm-3m, No. 221

a b c (Å): 4.7715 4.7715 4.7715
angles (deg): 90.00 90.00 90.00
Closest atoms and distances in Å follow each position.
Element x y z (fractional)
1 Ta 0.5000 0.5000 0.5000  12 Zr 3.37
2 Zr 0.0000 0.0000 0.5000  2 Cl 2.39
3 Zr 0.0000 0.5000 0.0000  2 Cl 2.39
4 Zr 0.5000 0.0000 0.0000  2 Cl 2.39
5 Cl 0.0000 0.0000 0.0000  6 Zr 2.39

***

(Q)
A relaxed Zr3TaCl crystal, computed with GGA-PBE.

Results
N(E_F) in states/eV per cell: 7.45
Symmetry: Pm-3m, No. 221

a b c (Å): 5.2175 5.2175 5.2175
angles (deg): 90.00 90.00 90.00
Closest atoms and distances in Å follow each position.
Element x y z (fractional)
1 Ta 0.0000 0.0000 0.0000  6 Zr 2.61
2 Zr 0.5000 0.0000 0.0000  2 Ta 2.61
3 Cl 0.5000 0.5000 0.5000  12 Zr 3.69
4 Zr 0.0000 0.5000 0.0000  2 Ta 2.61
5 Zr 0.0000 0.0000 0.5000  2 Ta 2.61

***

According to the calculations, the structures order from most to least stable as (P), (Q).

***

(P)
A relaxed TbYCl crystal, computed with GGA-PBE.

Results
N(E_F) in states/eV per cell: 4.04
Symmetry: R-3m, No. 166

a b c (Å): 3.6651 3.6651 16.1890
angles (deg): 83.50 83.50 60.00
Closest atoms and distances in Å follow each position.
Element x y z (fractional)
1 Tb 0.1363 0.1363 0.5910  3 Y 3.57, 9 Tb 3.61-3.67
2 Y 0.4099 0.4099 0.7704  3 Cl 2.77
3 Cl 0.7060 0.7060 0.8820  3 Y 2.77
4 Tb 0.8637 0.8637 0.4090  3 Y 3.57, 9 Tb 3.61-3.67
5 Cl 0.2940 0.2940 0.1180  3 Y 2.77
6 Y 0.5901 0.5901 0.2296  3 Cl 2.77

***

(Q)
A relaxed TbYCl crystal, computed with GGA-PBE.

Results
N(E_F) in states/eV per cell: 3.64
Symmetry: P3m1, No. 156

a b c (Å): 3.6936 3.6936 6.9691
angles (deg): 90.00 90.00 120.00
Closest atoms and distances in Å follow each position.
Element x y z (fractional)
1 Tb 0.0000 0.0000 0.0238  3 Cl 3.04
2 Y 0.3333 0.6667 0.6409  3 Cl 3.01
3 Cl 0.6667 0.3333 0.3354  3 Y 3.01, 3 Tb 3.04

***

According to the calculations, the structures order from most to least stable as (P), (Q).

***

(P)
A relaxed Tb2ZnCl crystal, computed with GGA-PBE.

Results
N(E_F) in states/eV per cell: 2.67
Symmetry: R-3m, No. 166

a b c (Å): 3.9819 3.9819 7.3881
angles (deg): 74.37 74.37 60.00
Closest atoms and distances in Å follow each position.
Element x y z (fractional)
1 Cl 0.5000 0.5000 0.5000  6 Tb 2.90
2 Zn 0.0000 0.0000 0.0000  6 Tb 2.88
3 Tb 0.7492 0.7492 0.7524  3 Zn 2.88, 3 Cl 2.90
4 Tb 0.2508 0.2508 0.2476  3 Zn 2.88, 3 Cl 2.90

***

(Q)
A relaxed Tb2ZnCl crystal, computed with GGA-PBE.

Results
N(E_F) in states/eV per cell: 3.22
Symmetry: R3m, No. 160

a b c (Å): 3.5981 3.5981 8.8166
angles (deg): 78.23 78.23 60.00
Closest atoms and distances in Å follow each position.
Element x y z (fractional)
1 Zn 0.6670 0.6670 0.9990  6 Tb 2.97-2.98
2 Tb 0.0830 0.0830 0.7510  3 Zn 2.97, 3 Cl 2.98
3 Cl 0.4994 0.4994 0.5018  6 Tb 2.98-3.01
4 Tb 0.2506 0.2506 0.2483  3 Zn 2.98, 3 Cl 3.01

***

According to the calculations, the structures order from most to least stable as (P), (Q).

***

(P)
A relaxed Tc3Cl crystal, computed with GGA-PBE.

Results
N(E_F) in states/eV per cell: 3.17
Symmetry: C2/m, No. 12

a b c (Å): 5.1397 5.1397 4.2425
angles (deg): 89.87 89.87 32.83
Closest atoms and distances in Å follow each position.
Element x y z (fractional)
1 Tc 0.7863 0.7863 0.7258  1 Cl 2.41, 2 Tc 2.51
2 Tc 0.2137 0.2137 0.2742  1 Cl 2.41, 2 Tc 2.51
3 Tc 0.5000 0.5000 0.5000  4 Cl 2.57, 4 Tc 2.73
4 Cl 0.0000 0.0000 0.0000  6 Tc 2.41-2.57

***

(Q)
A relaxed Tc3Cl crystal, computed with GGA-PBE.

Results
N(E_F) in states/eV per cell: 3.90
Symmetry: P2/m, No. 10

a b c (Å): 4.0179 2.8785 5.2554
angles (deg): 73.12 90.00 90.00
Closest atoms and distances in Å follow each position.
Element x y z (fractional)
1 Tc 0.5000 0.1224 0.2437  2 Cl 2.46, 1 Tc 2.58
2 Tc 0.5000 0.8776 0.7563  2 Cl 2.46, 1 Tc 2.58
3 Cl 0.0000 0.0000 0.0000  6 Tc 2.46-2.60
4 Tc 0.0000 0.5000 0.5000  2 Cl 2.60, 10 Tc 2.77-2.88

***

(R)
A relaxed Tc3Cl crystal, computed with GGA-PBE.

Results
N(E_F) in states/eV per cell: 5.08
Symmetry: R-3m, No. 166

a b c (Å): 4.9505 4.9505 4.9505
angles (deg): 116.22 116.22 116.22
Closest atoms and distances in Å follow each position.
Element x y z (fractional)
1 Tc 0.0000 0.5000 0.5000  2 Cl 2.62, 6 Tc 2.62-2.92
2 Tc 0.5000 0.5000 0.0000  6 Tc 2.62-2.92, 2 Cl 2.62
3 Tc 0.5000 0.0000 0.5000  6 Tc 2.62-2.92, 2 Cl 2.62
4 Cl 0.0000 0.0000 0.0000  6 Tc 2.62, 2 Cl 2.92

***

According to the calculations, the structures order from most to least stable as (Q), (P), (R).